Entry 1:
## Mg5Hg3 (PBE)

Data for an optimized crystal structure of Mg5Hg3.

a b c (Å): 8.3529 8.3529 5.8601
angles (deg): 90.00 90.00 120.00
Space group P6_3/mcm (No. 193)
Asymmetric unit:
Mg1 0.0000 0.2531 0.2500 [6 per cell]
Mg2 0.3333 0.6667 0.0000 [4 per cell]
Hg1 0.0000 0.3871 0.7500 [6 per cell]

Values from the calculation:
Formation enthalpy at 0 K ... -0.2107 eV per atom
Crystal system ... hexagonal
Magnetic moment ... 0.00 μB per cell
Energy ... -1.321 eV per atom



Entry 2:
## Mg2Hg (PBE)

Data for an optimized crystal structure of Mg2Hg.

a b c (Å): 4.372 4.372 26.998
angles (deg): 90.00 90.00 90.00
Space group I4_1/amd (No. 141, origin choice 2)
Asymmetric unit:
Mg1 0.000 0.250 0.124 [8 per cell]
Mg2 0.000 0.250 0.790 [8 per cell]
Hg1 0.000 0.250 0.297 [8 per cell]

Values from the calculation:
Formation enthalpy at 0 K ... -0.1491 eV per atom
Crystal system ... tetragonal
Magnetic moment ... 0.00 μB per cell
Energy ... -1.313 eV per atom